Density functional theory data (PBE) for an optimized crystal structure of Y2NpSiN5.

It has space group Cmc2_1 (No. 36), with a = 3.347 Å, b = 13.398 Å, c = 10.770 Å, α = 90.00°, β = 90.00° and γ = 90.00°. The asymmetric unit holds Y at (0.000, 0.090, 0.000), Y at (0.000, 0.140, 0.685), Np at (0.000, 0.199, 0.392), Si at (0.000, 0.450, 0.757), N at (0.000, 0.027, 0.330), N at (0.000, 0.278, 0.024), N at (0.000, 0.318, 0.756), N at (0.000, 0.351, 0.352) and N at (0.000, 0.494, 0.114).

The density of states at the Fermi level is 0.4947 states/eV per atom. The uncorrected formation energy is -1.20 eV per atom.